BaWAu2 | PBE | optimized geometry

Cell lengths 4.9076, 4.9076, 6.7930 Å; angles 98.95, 98.95, 37.93 degrees
With the nearest neighbours (Å) after each atom.
Atoms (fractional coordinates):
Ba (0.0000, 0.0000, 0.0000)  2 Ba 3.19, 5 Au 3.28-3.57, 2 W 3.54
W (0.7587, 0.7587, 0.3652)  5 Au 2.66-2.75
Au (0.2354, 0.2354, 0.6885)  2 W 2.75, 3 Au 2.95-3.03
Au (0.4942, 0.4942, 0.4683)  3 W 2.66-2.70, 2 Au 2.95

distance to the lowest polymorph of the same formula: 7.10 kcal/mol of atoms
energy of formation from the pure elements: 534 meV per atom
spin magnetization: 0.000 μB/atom